Entry 1:
FeRePb2 | PBE-GGA | optimized geometry

Lattice parameters (Å, degrees): 3.438 3.438 6.562 90.00 90.00 90.00
Element x y z (fractional)
Fe1 0.000 0.000 0.000
Re1 0.000 0.000 0.500
Pb1 0.500 0.500 0.251
Pb2 0.500 0.500 0.749

V ... 77.58 Å³/f.u.
Calculated total energy ... -24.3 eV per cell
Calculated formation energy ... 1.0014 eV/atom
Spin magnetization ... 2.981 μB/cell

***

Entry 2:
FeRePb2 | PBE-GGA | optimized geometry

Lattice parameters (Å, degrees): 10.322 3.188 6.479 90.00 127.87 90.00
Element x y z (fractional)
Fe1 0.000 0.000 0.000
Fe2 0.500 0.500 0.000
Re1 0.437 0.000 0.213
Re2 0.937 0.500 0.213
Pb1 0.156 0.500 0.789
Pb2 0.281 0.500 0.418
Pb3 0.656 0.000 0.789
Pb4 0.781 0.000 0.418

V ... 84.15 Å³/f.u.
Calculated total energy ... -50.5 eV per cell
Calculated formation energy ... 0.7734 eV/atom
Spin magnetization ... 5.418 μB/cell

***

Summary of energy above the lowest structure with this stoichiometry in meV/atom
558 330
(order as listed above)